(1)
Compound: Pr3AsS5Cl2
Source: Alexandria
Functional: PBE
Structure: optimized geometry

```
Pr3AsS5Cl2
1.0
11.093 -3.501 0.000
11.093 3.501 0.000
-1.092 0.000 7.020
Pr As S Cl
6 2 10 4
Direct
0.090 0.510 0.135
0.202 0.798 0.500
0.361 0.946 0.151
0.510 0.090 0.635
0.798 0.202 0.000
0.946 0.361 0.651
0.265 0.644 0.942
0.644 0.265 0.442
0.002 0.836 0.131
0.018 0.129 0.330
0.129 0.018 0.830
0.175 0.284 0.395
0.284 0.175 0.895
0.335 0.438 0.472
0.438 0.335 0.972
0.457 0.605 0.168
0.605 0.457 0.668
0.836 0.002 0.631
0.554 0.767 0.515
0.685 0.884 0.270
0.767 0.554 0.015
0.884 0.685 0.770
```

Output
ΔE_f (raw): -1.702 eV per atom
SG: No. 9

---

(2)
Compound: Pr6AsS2Cl3
Source: Alexandria
Functional: PBE
Structure: optimized geometry

```
Pr6AsS2Cl3
1.0
3.619 -6.270 0.000
3.619 6.270 0.000
-2.420 0.000 6.888
Pr As S Cl
6 1 2 3
Direct
0.082 0.426 0.781
0.226 0.226 0.214
0.426 0.082 0.781
0.574 0.918 0.219
0.774 0.774 0.786
0.918 0.574 0.219
0.500 0.500 0.000
0.168 0.832 0.000
0.832 0.168 0.000
0.000 0.000 0.500
0.342 0.658 0.500
0.658 0.342 0.500
```

Output
ΔE_f (raw): -1.655 eV per atom
SG: No. 12

---

(3)
Compound: Pr4AsSe2Cl
Source: Alexandria
Functional: PBE
Structure: optimized geometry

```
Pr4AsSe2Cl
1.0
7.366 0.000 0.000
0.000 4.282 0.000
-2.486 0.000 6.977
Pr As Se Cl
4 1 2 1
Direct
0.236 0.000 0.228
0.249 0.500 0.766
0.751 0.500 0.234
0.764 0.000 0.772
0.500 0.000 0.000
0.000 0.000 0.500
0.000 0.500 0.000
0.500 0.500 0.500
```

Output
ΔE_f (raw): -1.680 eV per atom
SG: No. 10

---

(4)
Compound: Pr6AsSe3Cl2
Source: Alexandria
Functional: PBE
Structure: optimized geometry

```
Pr6AsSe3Cl2
1.0
3.732 -6.338 0.000
3.732 6.338 0.000
-2.389 0.000 6.887
Pr As Se Cl
6 1 3 2
Direct
0.083 0.403 0.756
0.228 0.228 0.235
0.403 0.083 0.756
0.597 0.917 0.244
0.772 0.772 0.765
0.917 0.597 0.244
0.000 0.000 0.500
0.173 0.827 0.000
0.500 0.500 0.000
0.827 0.173 0.000
0.337 0.663 0.500
0.663 0.337 0.500
```

Output
ΔE_f (raw): -1.655 eV per atom
SG: No. 12

---

(5)
Compound: Pr4As2SeCl
Source: Alexandria
Functional: PBE
Structure: optimized geometry

```
Pr4As2SeCl
1.0
7.399 0.000 0.000
0.000 4.265 0.000
-2.459 0.000 7.055
Pr As Se Cl
4 2 1 1
Direct
0.236 0.000 0.228
0.248 0.500 0.767
0.752 0.500 0.233
0.764 0.000 0.772
0.000 0.500 0.000
0.500 0.000 0.000
0.000 0.000 0.500
0.500 0.500 0.500
```

Output
ΔE_f (raw): -1.642 eV per atom
SG: No. 10

---

(6)
Compound: Pr6As3SeCl2
Source: Alexandria
Functional: PBE
Structure: optimized geometry

```
Pr6As3SeCl2
1.0
3.696 -6.412 0.000
3.696 6.412 0.000
-2.462 0.000 7.036
Pr As Se Cl
6 3 1 2
Direct
0.091 0.413 0.772
0.232 0.232 0.228
0.413 0.091 0.772
0.587 0.909 0.228
0.768 0.768 0.772
0.909 0.587 0.228
0.170 0.830 0.000
0.500 0.500 0.000
0.830 0.170 0.000
0.000 0.000 0.500
0.333 0.667 0.500
0.667 0.333 0.500
```

Output
ΔE_f (raw): -1.612 eV per atom
SG: No. 12

---

(7)
Compound: Pr6As2Se3Cl
Source: Alexandria
Functional: PBE
Structure: optimized geometry

```
Pr6As2Se3Cl
1.0
9.311 -2.140 0.000
9.311 2.140 0.000
-1.918 0.000 8.333
Pr As Se Cl
6 2 3 1
Direct
0.004 0.004 0.269
0.325 0.325 0.905
0.330 0.330 0.421
0.670 0.670 0.579
0.675 0.675 0.095
0.996 0.996 0.731
0.165 0.165 0.331
0.835 0.835 0.669
0.162 0.162 0.835
0.500 0.500 0.500
0.838 0.838 0.165
0.500 0.500 0.000
```

Output
ΔE_f (raw): -1.698 eV per atom
SG: No. 12

---

(8)
Compound: Pr4SiAsCl2
Source: Alexandria
Functional: PBE
Structure: optimized geometry

```
Pr4SiAsCl2
1.0
7.417 0.000 0.000
0.000 4.264 0.000
-2.463 0.000 7.007
Pr Si As Cl
4 1 1 2
Direct
0.235 0.000 0.224
0.252 0.500 0.776
0.748 0.500 0.224
0.765 0.000 0.776
0.000 0.500 0.000
0.500 0.000 0.000
0.000 0.000 0.500
0.500 0.500 0.500
```

Output
ΔE_f (raw): -1.375 eV per atom
SG: No. 10

---

(9)
Compound: Pr6SiAs2Cl3
Source: Alexandria
Functional: PBE
Structure: optimized geometry

```
Pr6SiAs2Cl3
1.0
9.310 -2.132 0.000
9.310 2.132 0.000
-1.933 0.000 8.338
Pr Si As Cl
6 1 2 3
Direct
0.004 0.004 0.233
0.328 0.328 0.432
0.341 0.341 0.907
0.659 0.659 0.093
0.672 0.672 0.568
0.996 0.996 0.767
0.500 0.500 0.000
0.167 0.167 0.332
0.833 0.833 0.668
0.166 0.166 0.832
0.500 0.500 0.500
0.834 0.834 0.168
```

Output
ΔE_f (raw): -1.430 eV per atom
SG: No. 12

---

(10)
Compound: Pr4SiAs2Cl
Source: Alexandria
Functional: PBE
Structure: optimized geometry

```
Pr4SiAs2Cl
1.0
7.392 0.000 0.000
0.000 4.291 0.000
-2.433 0.000 7.000
Pr Si As Cl
4 1 2 1
Direct
0.240 0.000 0.235
0.249 0.500 0.756
0.751 0.500 0.244
0.760 0.000 0.765
0.500 0.000 0.000
0.000 0.000 0.500
0.000 0.500 0.000
0.500 0.500 0.500
```

Output
ΔE_f (raw): -1.355 eV per atom
SG: No. 10

---

(11)
Compound: Pr8Si3AsCl4
Source: Alexandria
Functional: PBE
Structure: optimized geometry

```
Pr8Si3AsCl4
1.0
4.273 2.467 7.043
-4.273 2.467 7.043
0.000 -4.934 7.043
Pr Si As Cl
8 3 1 4
Direct
0.236 0.744 0.744
0.241 0.241 0.241
0.256 0.256 0.764
0.256 0.764 0.256
0.744 0.236 0.744
0.744 0.744 0.236
0.759 0.759 0.759
0.764 0.256 0.256
0.000 0.000 0.500
0.000 0.500 0.000
0.500 0.000 0.000
0.500 0.500 0.500
0.000 0.000 0.000
0.000 0.500 0.500
0.500 0.000 0.500
0.500 0.500 0.000
```

Output
ΔE_f (raw): -1.283 eV per atom
SG: No. 166

---

(12)
Compound: Pr4Te2AsCl
Source: Alexandria
Functional: PBE
Structure: optimized geometry

```
Pr4Te2AsCl
1.0
7.557 0.000 0.000
0.000 4.347 0.000
-2.491 0.000 7.286
Pr Te As Cl
4 2 1 1
Direct
0.230 0.000 0.219
0.247 0.500 0.776
0.753 0.500 0.224
0.770 0.000 0.781
0.000 0.000 0.500
0.500 0.500 0.500
0.000 0.500 0.000
0.500 0.000 0.000
```

Output
ΔE_f (raw): -1.472 eV per atom
SG: No. 10

---

(13)
Compound: AsPt2Cl
Source: Alexandria
Functional: PBE
Structure: optimized geometry

```
AsPt2Cl
1.0
3.896 0.000 0.000
-1.948 3.374 0.000
0.000 0.000 20.223
As Pt Cl
3 6 3
Direct
0.000 0.000 0.000
0.333 0.667 0.667
0.667 0.333 0.333
0.000 0.000 0.295
0.000 0.000 0.557
0.333 0.667 0.223
0.333 0.667 0.962
0.667 0.333 0.629
0.667 0.333 0.890
0.000 0.000 0.824
0.333 0.667 0.491
0.667 0.333 0.157
```

Output
Polymorph energy (0 for the lowest one): 0.000 eV/atom
ΔE_f (raw): -0.195 eV per atom
SG: No. 160

---

(14)
Compound: AsPt2Cl
Source: Alexandria
Functional: PBE
Structure: optimized geometry

```
AsPt2Cl
1.0
6.443 0.000 0.000
0.000 6.443 0.000
0.000 0.000 6.443
As Pt Cl
4 8 4
Direct
0.000 0.000 0.000
0.000 0.500 0.500
0.500 0.000 0.500
0.500 0.500 0.000
0.250 0.250 0.250
0.250 0.250 0.750
0.250 0.750 0.250
0.250 0.750 0.750
0.750 0.250 0.250
0.750 0.250 0.750
0.750 0.750 0.250
0.750 0.750 0.750
0.000 0.000 0.500
0.000 0.500 0.000
0.500 0.000 0.000
0.500 0.500 0.500
```

Output
Polymorph energy (0 for the lowest one): 0.515 eV/atom
ΔE_f (raw): 0.320 eV per atom
SG: No. 225

---

(15)
Compound: AsPtCl2
Source: Alexandria
Functional: PBE
Structure: optimized geometry

```
AsPtCl2
1.0
5.101 0.000 0.000
0.000 3.539 0.000
-1.299 0.000 5.022
As Pt Cl
1 1 2
Direct
0.000 0.000 0.000
0.316 0.500 0.176
0.319 0.500 0.664
0.714 0.000 0.310
```

Output
Polymorph energy (0 for the lowest one): 0.164 eV/atom
ΔE_f (raw): -0.315 eV per atom
SG: No. 6

---

(16)
Compound: AsPtCl2
Source: Alexandria
Functional: PBE
Structure: optimized geometry

```
AsPtCl2
1.0
6.815 0.000 0.000
0.000 3.744 0.000
-0.044 0.000 8.244
As Pt Cl
2 2 4
Direct
0.000 0.000 0.000
0.500 0.500 0.000
0.334 0.000 0.875
0.834 0.500 0.875
0.272 0.500 0.674
0.499 0.500 0.265
0.772 0.000 0.674
0.999 0.000 0.265
```

Output
Polymorph energy (0 for the lowest one): 0.000 eV/atom
ΔE_f (raw): -0.479 eV per atom
SG: No. 8

---

(17)
Compound: AsPtCl2
Source: Alexandria
Functional: PBE
Structure: optimized geometry

```
AsPtCl2
1.0
3.029 0.000 0.000
0.000 4.359 0.000
0.000 0.000 5.602
As Pt Cl
1 1 2
Direct
0.000 0.000 0.000
0.500 0.000 0.500
0.000 0.500 0.500
0.500 0.500 0.000
```

Output
Polymorph energy (0 for the lowest one): 0.838 eV/atom
ΔE_f (raw): 0.360 eV per atom
SG: No. 47

---

(18)
Compound: AsPt2Cl
Source: Alexandria
Functional: PBE
Structure: optimized geometry

```
AsPt2Cl
1.0
3.534 0.000 0.000
0.000 3.737 0.000
-0.003 0.000 6.289
As Pt Cl
1 2 1
Direct
0.000 0.000 0.000
0.500 0.000 0.725
0.500 0.500 0.058
0.499 0.500 0.454
```

Output
Polymorph energy (0 for the lowest one): 0.093 eV/atom
ΔE_f (raw): -0.102 eV per atom
SG: No. 6

---

(19)
Compound: AsPtCl2
Source: Alexandria
Functional: PBE
Structure: optimized geometry

```
AsPtCl2
1.0
16.607 0.000 0.000
0.000 3.475 0.000
-0.828 0.000 3.626
As Pt Cl
2 2 4
Direct
0.000 0.000 0.000
0.500 0.500 0.000
0.000 0.500 0.500
0.500 0.000 0.500
0.142 0.000 0.963
0.358 0.500 0.037
0.642 0.500 0.963
0.858 0.000 0.037
```

Output
Polymorph energy (0 for the lowest one): 0.476 eV/atom
ΔE_f (raw): -0.003 eV per atom
SG: No. 12

---

(20)
Compound: AsPtCl2
Source: Alexandria
Functional: PBE
Structure: optimized geometry

```
AsPtCl2
1.0
6.590 0.000 0.000
0.000 6.590 0.000
0.000 0.000 6.590
As Pt Cl
4 4 8
Direct
0.000 0.000 0.000
0.000 0.500 0.500
0.500 0.000 0.500
0.500 0.500 0.000
0.250 0.250 0.750
0.250 0.750 0.250
0.750 0.250 0.250
0.750 0.750 0.750
0.000 0.000 0.500
0.000 0.500 0.000
0.250 0.250 0.250
0.250 0.750 0.750
0.500 0.000 0.000
0.500 0.500 0.500
0.750 0.250 0.750
0.750 0.750 0.250
```

Output
Polymorph energy (0 for the lowest one): 0.875 eV/atom
ΔE_f (raw): 0.396 eV per atom
SG: No. 216

---

(21)
Compound: AsPtCl2
Source: Alexandria
Functional: PBE
Structure: optimized geometry

```
AsPtCl2
1.0
3.631 0.000 0.000
-1.816 3.145 0.000
0.000 0.000 24.417
As Pt Cl
3 3 6
Direct
0.000 0.000 0.000
0.333 0.667 0.667
0.667 0.333 0.333
0.000 0.000 0.720
0.333 0.667 0.386
0.667 0.333 0.053
0.000 0.000 0.257
0.000 0.000 0.450
0.333 0.667 0.116
0.333 0.667 0.924
0.667 0.333 0.591
0.667 0.333 0.783
```

Output
Polymorph energy (0 for the lowest one): 0.132 eV/atom
ΔE_f (raw): -0.346 eV per atom
SG: No. 160

---

(22)
Compound: As4PtCl
Source: Alexandria
Functional: PBE
Structure: optimized geometry

```
As4PtCl
1.0
0.000 3.963 3.963
3.963 0.000 3.963
3.963 3.963 0.000
As Pt Cl
4 1 1
Direct
0.114 0.114 0.114
0.114 0.114 0.659
0.114 0.659 0.114
0.659 0.114 0.114
0.500 0.500 0.500
0.750 0.750 0.750
```

Output
ΔE_f (raw): 0.560 eV per atom
SG: No. 216

---

(23)
Compound: AsPt2Cl
Source: Alexandria
Functional: PBE
Structure: optimized geometry

```
AsPt2Cl
1.0
6.520 0.000 0.000
0.000 6.520 0.000
0.000 0.000 6.520
As Pt Cl
4 8 4
Direct
0.000 0.000 0.000
0.000 0.500 0.500
0.500 0.000 0.500
0.500 0.500 0.000
0.000 0.000 0.500
0.000 0.500 0.000
0.250 0.250 0.250
0.250 0.750 0.750
0.500 0.000 0.000
0.500 0.500 0.500
0.750 0.250 0.750
0.750 0.750 0.250
0.250 0.250 0.750
0.250 0.750 0.250
0.750 0.250 0.250
0.750 0.750 0.750
```

Output
Polymorph energy (0 for the lowest one): 0.685 eV/atom
ΔE_f (raw): 0.490 eV per atom
SG: No. 216

---

(24)
Compound: AsPtCl2
Source: Alexandria
Functional: PBE
Structure: optimized geometry

```
AsPtCl2
1.0
6.640 0.000 0.000
0.000 6.640 0.000
0.000 0.000 6.640
As Pt Cl
4 4 8
Direct
0.000 0.000 0.000
0.000 0.500 0.500
0.500 0.000 0.500
0.500 0.500 0.000
0.000 0.000 0.500
0.000 0.500 0.000
0.500 0.000 0.000
0.500 0.500 0.500
0.250 0.250 0.250
0.250 0.250 0.750
0.250 0.750 0.250
0.250 0.750 0.750
0.750 0.250 0.250
0.750 0.250 0.750
0.750 0.750 0.250
0.750 0.750 0.750
```

Output
Polymorph energy (0 for the lowest one): 1.134 eV/atom
ΔE_f (raw): 0.655 eV per atom
SG: No. 225

---

(25)
Compound: AsPt2Cl
Source: Alexandria
Functional: PBE
Structure: optimized geometry

```
AsPt2Cl
1.0
6.221 0.000 0.000
0.000 6.737 0.000
0.000 0.000 3.187
As Pt Cl
2 4 2
Direct
0.000 0.000 0.000
0.500 0.500 0.000
0.250 0.250 0.500
0.250 0.750 0.500
0.750 0.250 0.500
0.750 0.750 0.500
0.000 0.500 0.000
0.500 0.000 0.000
```

Output
Polymorph energy (0 for the lowest one): 0.617 eV/atom
ΔE_f (raw): 0.422 eV per atom
SG: No. 65